No. 1
A relaxed Cd2BAs crystal. Source: the Alexandria database, functional PBE.

```
data_Cd2BAs
_cell_length_a 6.604
_cell_length_b 6.604
_cell_length_c 6.604
_cell_angle_alpha 95.75
_cell_angle_beta 95.75
_cell_angle_gamma 143.10
_space_group_name_H-M_alt 'P 1'
_space_group_IT_number 1
loop_
_space_group_symop_operation_xyz
'x,y,z'
loop_
_atom_site_label
_atom_site_fract_x
_atom_site_fract_y
_atom_site_fract_z
Cd1 0.006 0.625 0.881
Cd2 0.375 0.256 0.381
Cd3 0.744 0.125 0.119
Cd4 0.875 0.994 0.619
B1 0.000 0.000 0.000
B2 0.750 0.250 0.500
As1 0.250 0.750 0.500
As2 0.500 0.500 0.000
```

- Excess energy over the best structure of this formula in the dataset: 0.0000 eV per atom

No. 2
A relaxed Pm6PrHg2 crystal. Source: the Alexandria database, functional PBE.

```
data_Pm6PrHg2
_cell_length_a 5.151
_cell_length_b 5.151
_cell_length_c 11.296
_cell_angle_alpha 90.00
_cell_angle_beta 90.00
_cell_angle_gamma 90.00
_space_group_name_H-M_alt 'P 1'
_space_group_IT_number 1
loop_
_space_group_symop_operation_xyz
'x,y,z'
loop_
_atom_site_label
_atom_site_fract_x
_atom_site_fract_y
_atom_site_fract_z
Pm1 0.000 0.000 0.000
Pm2 0.000 0.500 0.229
Pm3 0.000 0.500 0.771
Pm4 0.500 0.000 0.229
Pm5 0.500 0.000 0.771
Pm6 0.500 0.500 0.000
Pr1 0.000 0.000 0.500
Hg1 0.500 0.500 0.380
Hg2 0.500 0.500 0.620
```

- Excess energy over the best structure of this formula in the dataset: 0.1243 eV per atom

No. 3
A relaxed Pr3Mg7Au2 crystal. Source: the Alexandria database, functional PBE.

```
data_Pr3Mg7Au2
_cell_length_a 10.151
_cell_length_b 10.151
_cell_length_c 10.151
_cell_angle_alpha 34.52
_cell_angle_beta 34.52
_cell_angle_gamma 34.52
_space_group_name_H-M_alt 'P 1'
_space_group_IT_number 1
loop_
_space_group_symop_operation_xyz
'x,y,z'
loop_
_atom_site_label
_atom_site_fract_x
_atom_site_fract_y
_atom_site_fract_z
Pr1 0.000 0.000 0.000
Pr2 0.145 0.145 0.145
Pr3 0.855 0.855 0.855
Mg1 0.075 0.578 0.578
Mg2 0.422 0.422 0.925
Mg3 0.422 0.925 0.422
Mg4 0.500 0.500 0.500
Mg5 0.578 0.075 0.578
Mg6 0.578 0.578 0.075
Mg7 0.925 0.422 0.422
Au1 0.334 0.334 0.334
Au2 0.666 0.666 0.666
```

No. 4
A relaxed Er4CoGe8 crystal. Source: the Alexandria database, functional PBE.

```
data_Er4CoGe8
_cell_length_a 3.987
_cell_length_b 4.078
_cell_length_c 15.896
_cell_angle_alpha 90.00
_cell_angle_beta 90.00
_cell_angle_gamma 90.00
_space_group_name_H-M_alt 'P 1'
_space_group_IT_number 1
loop_
_space_group_symop_operation_xyz
'x,y,z'
loop_
_atom_site_label
_atom_site_fract_x
_atom_site_fract_y
_atom_site_fract_z
Er1 0.000 0.000 0.000
Er2 0.000 0.500 0.497
Er3 0.500 0.000 0.790
Er4 0.500 0.500 0.291
Co1 0.000 0.500 0.706
Ge1 0.000 0.000 0.339
Ge2 0.000 0.000 0.634
Ge3 0.000 0.500 0.144
Ge4 0.000 0.500 0.850
Ge5 0.500 0.000 0.147
Ge6 0.500 0.000 0.446
Ge7 0.500 0.500 0.633
Ge8 0.500 0.500 0.954
```

No. 5
A relaxed Rb2TmI5 crystal. Source: the Alexandria database, functional PBE.

```
data_Rb2TmI5
_cell_length_a 8.274
_cell_length_b 8.274
_cell_length_c 8.274
_cell_angle_alpha 114.02
_cell_angle_beta 114.02
_cell_angle_gamma 100.71
_space_group_name_H-M_alt 'P 1'
_space_group_IT_number 1
loop_
_space_group_symop_operation_xyz
'x,y,z'
loop_
_atom_site_label
_atom_site_fract_x
_atom_site_fract_y
_atom_site_fract_z
Rb1 0.000 0.500 0.500
Rb2 0.500 0.000 0.500
Tm1 0.222 0.222 0.000
I1 0.043 0.043 0.542
I2 0.043 0.500 0.000
I3 0.500 0.043 0.000
I4 0.500 0.500 0.458
I5 0.957 0.957 0.000
```

- Energy relative to the elements, uncorrected: -1.386 eV per atom
- Excess energy over the best structure of this formula in the dataset: 0.0334 eV per atom

No. 6
A relaxed AcCe2Mg crystal. Source: the Alexandria database, functional PBE.

```
data_AcCe2Mg
_cell_length_a 3.727
_cell_length_b 3.727
_cell_length_c 9.240
_cell_angle_alpha 90.00
_cell_angle_beta 90.00
_cell_angle_gamma 90.00
_space_group_name_H-M_alt 'P 1'
_space_group_IT_number 1
loop_
_space_group_symop_operation_xyz
'x,y,z'
loop_
_atom_site_label
_atom_site_fract_x
_atom_site_fract_y
_atom_site_fract_z
Ac1 0.000 0.000 0.000
Ce1 0.500 0.500 0.276
Ce2 0.500 0.500 0.724
Mg1 0.000 0.000 0.500
```

- Excess energy over the best structure of this formula in the dataset: 0.0000 eV per atom

No. 7
A relaxed Li2MgB2Pt5 crystal. Source: the Alexandria database, functional PBE.

```
data_Li2MgB2Pt5
_cell_length_a 9.625
_cell_length_b 9.625
_cell_length_c 2.968
_cell_angle_alpha 90.00
_cell_angle_beta 90.00
_cell_angle_gamma 90.00
_space_group_name_H-M_alt 'P 1'
_space_group_IT_number 1
loop_
_space_group_symop_operation_xyz
'x,y,z'
loop_
_atom_site_label
_atom_site_fract_x
_atom_site_fract_y
_atom_site_fract_z
Li1 0.176 0.324 0.000
Li2 0.324 0.824 0.000
Li3 0.676 0.176 0.000
Li4 0.824 0.676 0.000
Mg1 0.000 0.000 0.000
Mg2 0.500 0.500 0.000
B1 0.126 0.626 0.000
B2 0.374 0.126 0.000
B3 0.626 0.874 0.000
B4 0.874 0.374 0.000
Pt1 0.000 0.500 0.500
Pt2 0.073 0.782 0.500
Pt3 0.218 0.073 0.500
Pt4 0.282 0.573 0.500
Pt5 0.427 0.282 0.500
Pt6 0.500 0.000 0.500
Pt7 0.573 0.718 0.500
Pt8 0.718 0.427 0.500
Pt9 0.782 0.927 0.500
Pt10 0.927 0.218 0.500
```

No. 8
A relaxed LiNb2TeO8 crystal. Source: the Alexandria database, functional PBE.

```
data_LiNb2TeO8
_cell_length_a 4.799
_cell_length_b 4.799
_cell_length_c 6.296
_cell_angle_alpha 90.00
_cell_angle_beta 90.00
_cell_angle_gamma 91.68
_space_group_name_H-M_alt 'P 1'
_space_group_IT_number 1
loop_
_space_group_symop_operation_xyz
'x,y,z'
loop_
_atom_site_label
_atom_site_fract_x
_atom_site_fract_y
_atom_site_fract_z
Li1 0.000 0.000 0.000
Nb1 0.500 0.500 0.238
Nb2 0.500 0.500 0.762
Te1 0.000 0.000 0.500
O1 0.204 0.204 0.264
O2 0.204 0.204 0.736
O3 0.302 0.698 0.500
O4 0.313 0.687 0.000
O5 0.687 0.313 0.000
O6 0.698 0.302 0.500
O7 0.796 0.796 0.264
O8 0.796 0.796 0.736
```

- Energy relative to the elements, uncorrected: -1.980 eV per atom

no.,total energy (eV/cell),Fermi-level density of states (states/eV/cell),total moment (μB per cell)
1,-21.06,2.3,0.00
2,-34.63,11.9,0.00
3,-35.74,11.3,0.00
4,-70.33,5.0,0.00
5,-25.25,0.0,0.00
6,-17.02,12.3,1.85
7,-108.83,4.5,0.00
8,-88.62,3.4,0.00